Computed, not measured: a relaxed structure of TaTeI2O at the PBE level of DFT.

a = 5.181 Å, b = 5.181 Å, c = 4.314 Å
α = 90.00°, β = 90.00°, γ = 90.00°
Space group P4/mmm (No. 123)
Asymmetric unit:
Ta 0.000 0.000 0.000 [1 per cell]
Te 0.500 0.500 0.000 [1 per cell]
I 0.000 0.500 0.500 [2 per cell]
O 0.500 0.500 0.500 [1 per cell]

Values from the calculation:
Formation energy (no corrections) = 985.5 meV/atom